An optimized crystal structure of HfAlHg, computed with PBE.

Energy of formation from the pure elements: -0.15 eV per atom
Energy relative to the lowest polymorph listed for this composition: 0.000 eV per atom
Total moment: 0.000 μB/f.u.

Cell and atoms, written as POSCAR:
```
HfAlHg
1.0
4.5637 0.0000 0.0000
-2.2818 3.9522 0.0000
0.0000 0.0000 3.2236
Hf Al Hg
1 1 1
direct
0.0000 0.0000 0.0000
0.3333 0.6667 0.5010
0.6667 0.3333 0.4984
```

=====

An optimized crystal structure of Sm4N2Cl, computed with PBE.

Formation energy from raw total energies: -1.29 eV per atom
Total moment: 0.105 μB/f.u.

Cell and atoms, written as POSCAR:
```
Sm4N2Cl
1.0
1.8135 1.0470 13.1397
-1.8135 1.0470 13.1397
0.0000 -2.0941 13.1397
Sm N Cl
4 2 1
direct
0.1225 0.1225 0.1225
0.2781 0.2781 0.2781
0.7219 0.7219 0.7219
0.8775 0.8775 0.8775
0.4202 0.4202 0.4202
0.5798 0.5798 0.5798
0.0000 0.0000 0.0000
```

=====

An optimized crystal structure of YCdTe3, computed with PBE.

Formation energy from raw total energies: -0.18 eV per atom
Energy relative to the lowest polymorph listed for this composition: 0.571 eV per atom
Total moment: 0.970 μB/f.u.

Cell and atoms, written as POSCAR:
```
YCdTe3
1.0
5.8677 0.0000 0.0000
0.0000 5.8677 0.0000
0.0000 0.0000 5.8677
Y Cd Te
1 1 3
direct
0.0000 0.0000 0.0000
0.5000 0.5000 0.5000
0.0000 0.0000 0.5000
0.0000 0.5000 0.0000
0.5000 0.0000 0.0000
```

=====

An optimized crystal structure of Ti6Bi3H, computed with PBE.

Energy relative to the lowest polymorph listed for this composition: 0.061 eV per atom
Total moment: 0.003 μB/f.u.

Cell and atoms, written as POSCAR:
```
Ti6Bi3H
1.0
5.0411 0.0000 0.0000
0.0201 9.0686 0.0000
1.6393 3.5428 8.2855
Ti Bi H
12 6 2
direct
0.1549 0.4185 0.4066
0.1913 0.0832 0.3468
0.2138 0.7858 0.2916
0.2298 0.7463 0.9851
0.2687 0.0754 0.0321
0.2780 0.0484 0.7117
0.7220 0.9516 0.2883
0.7313 0.9246 0.9679
0.7702 0.2537 0.0149
0.7862 0.2142 0.7084
0.8087 0.9168 0.6532
0.8451 0.5815 0.5934
0.2378 0.3871 0.0931
0.2852 0.3710 0.7222
0.3295 0.7847 0.5956
0.6705 0.2153 0.4044
0.7148 0.6290 0.2778
0.7622 0.6129 0.9069
0.1213 0.9513 0.9287
0.8787 0.0487 0.0713
```

=====

Please write out number 2 again, unchanged.
An optimized crystal structure of Sm4N2Cl, computed with PBE.

Formation energy from raw total energies: -1.29 eV per atom
Total moment: 0.105 μB/f.u.

Cell and atoms, written as POSCAR:
```
Sm4N2Cl
1.0
1.8135 1.0470 13.1397
-1.8135 1.0470 13.1397
0.0000 -2.0941 13.1397
Sm N Cl
4 2 1
direct
0.1225 0.1225 0.1225
0.2781 0.2781 0.2781
0.7219 0.7219 0.7219
0.8775 0.8775 0.8775
0.4202 0.4202 0.4202
0.5798 0.5798 0.5798
0.0000 0.0000 0.0000
```

=====

Q: Look up the total moment of the second one.
A: 0.105 μB/f.u.